Entry 1:
Here is a geometry-optimized Fe2AsPb structure from Alexandria via LeMat-Bulk. Energies are from PBE-GGA.

a = 5.361 Å, b = 5.361 Å, c = 5.361 Å
α = 137.80°, β = 137.80°, γ = 61.21°
Each line ends with the local moment (μB).
Atoms (fractional coordinates):
As1 0.750 0.250 0.500  0.02
Pb1 0.500 0.500 0.000  -0.04
Fe1 0.000 0.000 0.000  2.53
Fe2 0.250 0.750 0.500  2.65

The calculation puts the formation enthalpy at 0 K at 0.553 eV per atom. As for the total magnetization: 5.173 μB per cell. As for the energy above the most stable polymorph in this dataset: 0.400 eV per atom.

Entry 2:
Here is a geometry-optimized Pa2Co12CuH3 structure from Alexandria via LeMat-Bulk. Energies are from PBE-GGA.

a = 6.624 Å, b = 6.624 Å, c = 6.624 Å
α = 59.14°, β = 59.14°, γ = 59.14°
Each line ends with the local moment (μB).
Atoms (fractional coordinates):
H1 0.500 0.000 0.000  -0.01
H2 0.000 0.500 0.000  -0.01
H3 0.000 0.000 0.500  -0.01
Cu1 0.000 0.000 0.000  0.14
Co1 0.729 0.106 0.729  0.98
Co2 0.271 0.894 0.271  0.98
Co3 0.540 0.147 0.147  0.95
Co4 0.147 0.147 0.540  0.95
Co5 0.460 0.853 0.853  0.95
Co6 0.894 0.271 0.271  0.98
Co7 0.729 0.729 0.106  0.98
Co8 0.147 0.540 0.147  0.95
Co9 0.106 0.729 0.729  0.98
Co10 0.853 0.460 0.853  0.95
Co11 0.271 0.271 0.894  0.98
Co12 0.853 0.853 0.460  0.95
Pa1 0.602 0.602 0.602  -0.63
Pa2 0.398 0.398 0.398  -0.63

As for the total magnetization: 9.973 μB per cell. The total energy is -117.47 eV/cell.